The following is a DFT calculation (PBE-GGA) of a geometry-optimized Ca2AlGa2Rh5 structure.

a = 3.1949 Å, b = 10.2311 Å, c = 10.2311 Å
α = 90.00°, β = 90.00°, γ = 90.00°
Positions (direct):
1 Ca 0.0000 0.6718 0.1718
2 Ca 0.0000 0.3282 0.8282
3 Ca 0.0000 0.1718 0.3282
4 Ca 0.0000 0.8282 0.6718
5 Al 0.0000 0.0000 0.0000
6 Al 0.0000 0.5000 0.5000
7 Ga 0.0000 0.1310 0.6310
8 Ga 0.0000 0.8690 0.3690
9 Ga 0.0000 0.6310 0.8690
10 Ga 0.0000 0.3690 0.1310
11 Rh 0.5000 0.1943 0.0620
12 Rh 0.5000 0.8057 0.9380
13 Rh 0.5000 0.0620 0.8057
14 Rh 0.5000 0.6943 0.4380
15 Rh 0.5000 0.9380 0.1943
16 Rh 0.5000 0.3057 0.5620
17 Rh 0.5000 0.5620 0.6943
18 Rh 0.5000 0.4380 0.3057
19 Rh 0.5000 0.5000 0.0000
20 Rh 0.5000 0.0000 0.5000

Computed properties:
- E_form: -660 meV/atom
- Electronic total energy: -0.210 hartree per atom
- SG: P4/mbm, No. 127
- Fermi-level density of states: 3.7 states/eV/f.u.
- M_tot: 0.0 μB per formula unit
- Theoretical density: 7558 kg/m³

The following is a DFT calculation (PBE-GGA) of a geometry-optimized Ac3Pr4Ru4 structure.

a = 4.2493 Å, b = 8.8470 Å, c = 9.5346 Å
α = 117.64°, β = 102.88°, γ = 90.00°
Positions (direct):
1 Ac 0.1046 0.1046 0.2093
2 Ac 0.8954 0.8954 0.7907
3 Ac 0.0000 0.5000 0.0000
4 Pr 0.3327 0.1374 0.6654
5 Pr 0.6673 0.4720 0.3346
6 Pr 0.6673 0.8626 0.3346
7 Pr 0.3327 0.5280 0.6654
8 Ru 0.2312 0.7312 0.4624
9 Ru 0.7688 0.2688 0.5376
10 Ru 0.5000 0.7985 0.0000
11 Ru 0.5000 0.2015 0.0000

Computed properties:
- E_form: -72 meV/atom
- Electronic total energy: -0.232 hartree per atom
- SG: Immm, No. 71
- Fermi-level density of states: 7.5 states/eV/f.u.
- M_tot: 0.0 μB per formula unit
- Theoretical density: 8909 kg/m³

The following is a DFT calculation (PBE-GGA) of a geometry-optimized Zn2InCo structure.

a = 5.4242 Å, b = 5.4242 Å, c = 5.4242 Å
α = 147.61°, β = 132.59°, γ = 58.59°
Positions (direct):
1 Co 0.7500 0.2500 0.5000
2 In 0.2500 0.7500 0.5000
3 Zn 0.9640 0.9640 0.0000
4 Zn 0.5360 0.5360 0.0000

Computed properties:
- E_form: 58 meV/atom
- Electronic total energy: -0.112 hartree per atom
- SG: Immm, No. 71
- Fermi-level density of states: 1.4 states/eV/f.u.
- M_tot: 0.7 μB per formula unit
- Theoretical density: 8102 kg/m³

The following is a DFT calculation (PBE-GGA) of a geometry-optimized CaMn2Ag structure.

a = 3.4410 Å, b = 3.4410 Å, c = 7.2091 Å
α = 90.00°, β = 90.00°, γ = 90.01°
Positions (direct):
1 Ca 0.5000 0.5000 0.7500
2 Mn 0.0000 0.0000 0.0552
3 Mn 0.0000 0.0000 0.4448
4 Ag 0.5000 0.5000 0.2500

Computed properties:
- E_form: 461 meV/atom
- Electronic total energy: -0.196 hartree per atom
- SG: P4/mmm, No. 123
- Fermi-level density of states: 3.9 states/eV/f.u.
- M_tot: 8.5 μB per formula unit
- Theoretical density: 5015 kg/m³

The following is a DFT calculation (PBE-GGA) of a geometry-optimized HoPa2Rh5 structure.

a = 4.3338 Å, b = 5.8961 Å, c = 11.6388 Å
α = 90.00°, β = 90.00°, γ = 90.00°
Positions (direct):
1 Ho 0.0000 0.0000 0.5000
2 Ho 0.0000 0.5000 0.0000
3 Pa 0.5000 0.3435 0.3530
4 Pa 0.5000 0.6565 0.6470
5 Pa 0.5000 0.1565 0.8530
6 Pa 0.5000 0.8435 0.1470
7 Rh 0.5000 0.3015 0.1154
8 Rh 0.5000 0.6985 0.8846
9 Rh 0.5000 0.8015 0.3846
10 Rh 0.5000 0.1985 0.6154
11 Rh 0.0000 0.9105 0.7510
12 Rh 0.0000 0.0895 0.2490
13 Rh 0.0000 0.4105 0.7490
14 Rh 0.0000 0.5895 0.2510
15 Rh 0.0000 0.5000 0.5000
16 Rh 0.0000 0.0000 0.0000

Computed properties:
- E_form: -823 meV/atom
- Electronic total energy: -0.307 hartree per atom
- SG: Pbam, No. 55
- Fermi-level density of states: 4.6 states/eV/f.u.
- M_tot: 0.0 μB per formula unit
- Theoretical density: 12747 kg/m³

The following is a DFT calculation (PBE-GGA) of a geometry-optimized La5Sm5Th2 structure.

a = 6.3280 Å, b = 8.1951 Å, c = 11.0279 Å
α = 98.48°, β = 54.68°, γ = 75.01°
Positions (direct):
1 La 0.6611 0.2618 0.4193
2 La 0.9893 0.2627 0.7574
3 La 0.0107 0.7373 0.2426
4 La 0.3389 0.7382 0.5807
5 La 0.0000 0.0000 0.0000
6 Sm 0.0000 0.5000 0.5000
7 Sm 0.6692 0.7437 0.9173
8 Sm 0.3361 0.9931 0.3307
9 Sm 0.6639 0.0069 0.6693
10 Sm 0.3308 0.2563 0.0827
11 Th 0.3225 0.4981 0.8375
12 Th 0.6775 0.5019 0.1625

Computed properties:
- E_form: 39 meV/atom
- Electronic total energy: -0.192 hartree per atom
- SG: P-1, No. 2
- Fermi-level density of states: 20.1 states/eV/f.u.
- M_tot: 0.0 μB per formula unit
- Theoretical density: 7598 kg/m³

The following is a DFT calculation (PBE-GGA) of a geometry-optimized GaH2Pd structure.

a = 4.3882 Å, b = 4.3882 Å, c = 5.4275 Å
α = 66.16°, β = 66.16°, γ = 90.00°
Positions (direct):
1 H 0.6673 0.1250 0.2500
2 H 0.0827 0.6250 0.2500
3 H 0.3750 0.3327 0.7500
4 H 0.8750 0.9173 0.7500
5 Ga 0.5000 0.5000 0.0000
6 Ga 0.2500 0.7500 0.5000
7 Pd 0.0000 0.0000 0.0000
8 Pd 0.7500 0.2500 0.5000

Computed properties:
- Electronic total energy: -0.133 hartree per atom
- SG: I-42d, No. 122
- Fermi-level density of states: 0.9 states/eV/f.u.
- M_tot: 0.0 μB per formula unit
- Theoretical density: 6900 kg/m³

The following is a DFT calculation (PBE-GGA) of a geometry-optimized Ir2PtRh2 structure.

a = 3.7844 Å, b = 3.8260 Å, c = 7.0639 Å
α = 105.71°, β = 57.57°, γ = 90.00°
Positions (direct):
1 Ir 0.1715 0.6646 0.8291
2 Ir 0.8285 0.3354 0.1709
3 Pt 0.5000 0.0000 0.5000
4 Rh 0.6621 0.1689 0.8378
5 Rh 0.3379 0.8311 0.1622

Computed properties:
- E_form: 331 meV/atom
- Electronic total energy: -0.271 hartree per atom
- SG: Cmmm, No. 65
- Fermi-level density of states: 6.2 states/eV/f.u.
- M_tot: 0.0 μB per formula unit
- Theoretical density: 15949 kg/m³

The following is a DFT calculation (PBE-GGA) of a geometry-optimized NaCo structure.

a = 5.7139 Å, b = 5.7140 Å, c = 5.7004 Å
α = 90.00°, β = 90.00°, γ = 90.00°
Positions (direct):
1 Na 0.1763 0.8237 0.0000
2 Na 0.6763 0.6763 0.5000
3 Na 0.3237 0.3237 0.5000
4 Na 0.8237 0.1763 0.0000
5 Co 0.3691 0.3691 0.0000
6 Co 0.8691 0.1309 0.5000
7 Co 0.1309 0.8691 0.5000
8 Co 0.6309 0.6309 0.0000

Computed properties:
- E_form: 1132 meV/atom
- Electronic total energy: -0.113 hartree per atom
- SG: P4_2/mnm, No. 136
- Fermi-level density of states: 1.9 states/eV/f.u.
- M_tot: 1.9 μB per formula unit
- Theoretical density: 2924 kg/m³

The following is a DFT calculation (PBE-GGA) of a geometry-optimized HfAsW structure.

a = 4.2483 Å, b = 3.5242 Å, c = 14.6561 Å
α = 90.00°, β = 105.79°, γ = 90.00°
Positions (direct):
1 As 0.8524 0.0000 0.3593
2 As 0.1476 0.0000 0.6407
3 As 0.8524 0.5000 0.8593
4 As 0.1476 0.5000 0.1407
5 Hf 0.6719 0.0000 0.1669
6 Hf 0.3281 0.0000 0.8331
7 Hf 0.6719 0.5000 0.6669
8 Hf 0.3281 0.5000 0.3331
9 W 0.5000 0.0000 0.5000
10 W 0.5000 0.5000 0.0000
11 W 0.0000 0.0000 0.0000
12 W 0.0000 0.5000 0.5000

Computed properties:
- E_form: -391 meV/atom
- Electronic total energy: -0.352 hartree per atom
- SG: C2/m, No. 12
- Fermi-level density of states: 1.5 states/eV/f.u.
- M_tot: 0.0 μB per formula unit
- Theoretical density: 13755 kg/m³

The following is a DFT calculation (PBE-GGA) of a geometry-optimized LiPr2ZrO6 structure.

a = 5.6597 Å, b = 5.9398 Å, c = 8.1636 Å
α = 90.00°, β = 92.55°, γ = 90.00°
Positions (direct):
1 Li 0.5000 0.0000 0.5000
2 Li 0.0000 0.5000 0.0000
3 Pr 0.0265 0.9348 0.2437
4 Pr 0.5265 0.5652 0.7437
5 Pr 0.9735 0.0652 0.7563
6 Pr 0.4735 0.4348 0.2563
7 Zr 0.5000 0.0000 0.0000
8 Zr 0.0000 0.5000 0.5000
9 O 0.3087 0.7095 0.0697
10 O 0.8087 0.7905 0.5697
11 O 0.6913 0.2905 0.9303
12 O 0.1913 0.2095 0.4303
13 O 0.2986 0.6917 0.4442
14 O 0.7986 0.8083 0.9442
15 O 0.7014 0.3083 0.5558
16 O 0.2014 0.1917 0.0558
17 O 0.8758 0.5500 0.2560
18 O 0.3758 0.9500 0.7560
19 O 0.1242 0.4500 0.7440
20 O 0.6242 0.0500 0.2440

Computed properties:
- Electronic total energy: -0.288 hartree per atom
- SG: P2_1/c, No. 14
- Fermi-level density of states: 8.4 states/eV/f.u.
- M_tot: 1.1 μB per formula unit
- Theoretical density: 5766 kg/m³
- Formation energy from raw total energies: -2.860 eV per atom

The following is a DFT calculation (PBE-GGA) of a geometry-optimized ScMnTe2 structure.

a = 9.1503 Å, b = 9.1503 Å, c = 9.1503 Å
α = 24.39°, β = 24.39°, γ = 24.39°
Positions (direct):
1 Sc 0.0000 0.0000 0.0000
2 Te 0.8935 0.8935 0.8935
3 Te 0.1065 0.1065 0.1065
4 Mn 0.5000 0.5000 0.5000

Computed properties:
- Electronic total energy: -0.204 hartree per atom
- SG: R-3m, No. 166
- Fermi-level density of states: 3.1 states/eV/f.u.
- M_tot: 4.0 μB per formula unit
- Theoretical density: 5133 kg/m³
- Formation energy from raw total energies: -0.102 eV per atom